[1]
Compound: CsB5O8
Source: Alexandria via LeMat-Bulk
Functional: PBEsol
Structure: relaxed

Unit cell a=7.9694 b=8.3717 c=9.6615 alpha=90.00 beta=90.00 gamma=90.00
Last column: nearest neighbours and their distance in Å.
Sites, in units of the cell vectors:
B 0.2514 0.5848 0.9716  3 O 1.36-1.38
B 0.7514 0.9152 0.5284  3 O 1.36-1.38
B 0.7514 0.9152 0.9716  3 O 1.36-1.38
B 0.2725 0.3492 0.1375  4 O 1.42-1.54
B 0.0900 0.1150 0.2500  4 O 1.45-1.51
B 0.2486 0.0848 0.4716  3 O 1.36-1.38
B 0.2514 0.5848 0.5284  3 O 1.36-1.38
B 0.2486 0.0848 0.0284  3 O 1.36-1.38
B 0.2275 0.8492 0.8625  4 O 1.42-1.54
B 0.7275 0.6508 0.8625  4 O 1.42-1.54
B 0.2725 0.3492 0.3625  4 O 1.42-1.54
B 0.7725 0.1508 0.1375  4 O 1.42-1.54
B 0.4100 0.6150 0.7500  4 O 1.45-1.51
B 0.5900 0.3850 0.2500  4 O 1.45-1.51
B 0.7486 0.4152 0.4716  3 O 1.36-1.38
B 0.9100 0.8850 0.7500  4 O 1.45-1.51
B 0.2275 0.8492 0.6375  4 O 1.42-1.54
B 0.7486 0.4152 0.0284  3 O 1.36-1.38
B 0.7725 0.1508 0.3625  4 O 1.42-1.54
B 0.7275 0.6508 0.6375  4 O 1.42-1.54
O 0.0966 0.8819 0.7500  3 B 1.49-1.53
O 0.7077 0.0033 0.0855  2 B 1.37-1.43
O 0.7923 0.5033 0.9145  2 B 1.37-1.43
O 0.9034 0.1181 0.2500  3 B 1.49-1.53
O 0.3579 0.5290 0.6276  2 B 1.36-1.45
O 0.2923 0.9967 0.9145  2 B 1.37-1.43
O 0.5966 0.6181 0.7500  3 B 1.49-1.53
O 0.1822 0.7354 0.5355  2 B 1.38-1.42
O 0.3466 0.7845 0.7500  3 B 1.51-1.54
O 0.6534 0.2155 0.2500  3 B 1.51-1.54
O 0.6822 0.7646 0.9645  2 B 1.38-1.42
O 0.3178 0.2354 0.4645  2 B 1.38-1.42
O 0.8466 0.7155 0.7500  3 B 1.51-1.54
O 0.7077 0.0033 0.4145  2 B 1.37-1.43
O 0.4034 0.3819 0.2500  3 B 1.49-1.53
O 0.8178 0.2646 0.4645  2 B 1.38-1.42
O 0.3178 0.2354 0.0355  2 B 1.38-1.42
O 0.1822 0.7354 0.9645  2 B 1.38-1.42
O 0.3579 0.5290 0.8724  2 B 1.36-1.45
O 0.6822 0.7646 0.5355  2 B 1.38-1.42
O 0.8579 0.9710 0.8724  2 B 1.36-1.45
O 0.6421 0.4710 0.3724  2 B 1.36-1.45
O 0.1421 0.0290 0.3724  2 B 1.36-1.45
O 0.8178 0.2646 0.0355  2 B 1.38-1.42
O 0.2077 0.4967 0.4145  2 B 1.37-1.43
O 0.6421 0.4710 0.1276  2 B 1.36-1.45
O 0.7923 0.5033 0.5855  2 B 1.37-1.43
O 0.8579 0.9710 0.6276  2 B 1.36-1.45
O 0.2923 0.9967 0.5855  2 B 1.37-1.43
O 0.1421 0.0290 0.1276  2 B 1.36-1.45
O 0.1534 0.2845 0.2500  3 B 1.51-1.54
O 0.2077 0.4967 0.0855  2 B 1.37-1.43
Cs 0.5373 0.2135 0.7500  9 O 3.10-3.47
Cs 0.4627 0.7865 0.2500  9 O 3.10-3.47
Cs 0.0373 0.2865 0.7500  9 O 3.10-3.47
Cs 0.9627 0.7135 0.2500  9 O 3.10-3.47

Summary:
Total energy in eV/atom: -8.03
Symmetry: Pnma, No. 62
Excess energy over the best structure of this formula in the dataset in meV/atom: 0
Formation energy (no corrections) in eV/atom: -2.457



[2]
Compound: Zr2TaTe
Source: Alexandria via LeMat-Bulk
Functional: PBEsol
Structure: relaxed

Unit cell a=4.8400 b=4.8400 c=4.8400 alpha=60.00 beta=60.00 gamma=60.00
Last column: nearest neighbours and their distance in Å.
Sites, in units of the cell vectors:
Te 0.2500 0.2500 0.2500  4 Ta 2.96, 4 Zr 2.96
Zr 0.0000 0.0000 0.0000  4 Zr 2.96, 4 Te 2.96
Zr 0.7500 0.7500 0.7500  4 Zr 2.96, 4 Ta 2.96
Ta 0.5000 0.5000 0.5000  4 Te 2.96, 4 Zr 2.96

Summary:
Total energy in eV/atom: -8.51
Symmetry: F-43m, No. 216
Formation energy (no corrections) in eV/atom: 0.056



[3]
Compound: TlPtW
Source: Alexandria via LeMat-Bulk
Functional: PBEsol
Structure: relaxed

Unit cell a=4.4134 b=4.4134 c=4.4134 alpha=60.00 beta=60.00 gamma=60.00
Last column: nearest neighbours and their distance in Å.
Sites, in units of the cell vectors:
Pt 0.0000 0.0000 0.0000  4 W 2.70
Tl 0.5000 0.5000 0.5000  4 W 2.70
W 0.7500 0.7500 0.7500  4 Tl 2.70, 4 Pt 2.70

Summary:
Total energy in eV/atom: -6.89
Symmetry: F-43m, No. 216
ΔE_f in eV/atom: 0.910



[4]
Compound: Mn2CoAs
Source: Alexandria via LeMat-Bulk
Functional: PBEsol
Structure: relaxed

Unit cell a=3.5872 b=3.5872 c=4.3524 alpha=114.33 beta=114.33 gamma=89.98
Last column: nearest neighbours and their distance in Å.
Sites, in units of the cell vectors:
Co 0.4999 0.5001 0.0000  4 As 2.52, 8 Mn 2.52-2.54
As 0.2500 0.7500 0.5000  4 Co 2.52, 8 Mn 2.52-2.54
Mn 0.7501 0.2499 0.5000  4 Mn 2.52, 4 Co 2.52, 4 As 2.54
Mn 0.0000 0.0000 0.0000  4 Mn 2.52, 4 As 2.52, 4 Co 2.54

Summary:
Total energy in eV/atom: -8.15
Symmetry: I-4m2, No. 119
ΔE_f in eV/atom: -0.061



- Look up the total energy of the first one.
  -8.03 eV/atom